1.
# LiSi2Ir | Alexandria via LeMat-Bulk | GGA-PBE | relaxed
data_LiSi2Ir
_chemical_formula_sum 'Li1 Si2 Ir1'
_cell_length_a 3.6609
_cell_length_b 3.7500
_cell_length_c 3.7500
_cell_angle_alpha 90.00
_cell_angle_beta 90.00
_cell_angle_gamma 90.00
_symmetry_space_group_name_H-M 'P 1'
_symmetry_Int_Tables_number 1
loop_
_symmetry_equiv_pos_as_xyz
'x,y,z'
loop_
_atom_site_label
_atom_site_type_symbol
_atom_site_fract_x
_atom_site_fract_y
_atom_site_fract_z
Ir1 Ir 0.5000 0.5000 0.0000
Li1 Li 0.5000 0.0000 0.5000
Si1 Si 0.0000 0.0000 0.0000
Si2 Si 0.0000 0.5000 0.5000
# SG = P4/mmm (123)
# magnetization = 0.000 μB/atom
# electronic total energy = -5.666 eV/atom

***

2.
# Li2SiIr | Alexandria via LeMat-Bulk | GGA-PBE | relaxed
data_Li2SiIr
_chemical_formula_sum 'Li2 Si1 Ir1'
_cell_length_a 2.8930
_cell_length_b 4.0348
_cell_length_c 4.4319
_cell_angle_alpha 90.00
_cell_angle_beta 90.00
_cell_angle_gamma 90.00
_symmetry_space_group_name_H-M 'P 1'
_symmetry_Int_Tables_number 1
loop_
_symmetry_equiv_pos_as_xyz
'x,y,z'
loop_
_atom_site_label
_atom_site_type_symbol
_atom_site_fract_x
_atom_site_fract_y
_atom_site_fract_z
Ir1 Ir 0.0000 0.5000 0.5000
Li1 Li 0.0000 0.0000 0.0000
Li2 Li 0.5000 0.5000 0.0000
Si1 Si 0.5000 0.0000 0.5000
# SG = Pmmm (47)
# magnetization = 0.000 μB/atom
# electronic total energy = -4.939 eV/atom

***

3.
# Li2SiIr | Alexandria via LeMat-Bulk | GGA-PBE | relaxed
data_Li2SiIr
_chemical_formula_sum 'Li2 Si1 Ir1'
_cell_length_a 2.7970
_cell_length_b 4.1641
_cell_length_c 4.7382
_cell_angle_alpha 90.00
_cell_angle_beta 90.00
_cell_angle_gamma 90.00
_symmetry_space_group_name_H-M 'P 1'
_symmetry_Int_Tables_number 1
loop_
_symmetry_equiv_pos_as_xyz
'x,y,z'
loop_
_atom_site_label
_atom_site_type_symbol
_atom_site_fract_x
_atom_site_fract_y
_atom_site_fract_z
Ir1 Ir 0.5000 0.5000 0.7500
Li1 Li 0.0000 0.0000 0.9882
Li2 Li 0.0000 0.0000 0.5118
Si1 Si 0.5000 0.5000 0.2500
# SG = Pmmm (47)
# magnetization = 0.000 μB/atom
# electronic total energy = -4.778 eV/atom